The following is a DFT calculation (GGA-PBE) of a relaxed PmHo10Tm4 crystal.

a = 8.573 Å, b = 8.573 Å, c = 8.573 Å
α = 111.59°, β = 111.59°, γ = 105.32°
Element x y z (fractional)
Pm 0.000 0.000 0.000
Ho 0.126 0.229 0.673
Ho 0.229 0.556 0.102
Ho 0.250 0.750 0.500
Ho 0.444 0.546 0.673
Ho 0.454 0.126 0.898
Ho 0.546 0.874 0.102
Ho 0.556 0.454 0.327
Ho 0.750 0.250 0.500
Ho 0.771 0.444 0.898
Ho 0.874 0.771 0.327
Tm 0.071 0.663 0.734
Tm 0.337 0.071 0.408
Tm 0.663 0.929 0.592
Tm 0.929 0.337 0.266

Summary:
total energy = -4.21 eV per atom
space-group type = I4/m, No. 87
ΔE_f = 353 meV/atom